Density functional theory data (PBE-GGA) for a relaxed MgIn6Pb2 crystal.

Geometry as extended XYZ:
```
9
Lattice="3.297 0.000 0.000 0.000 9.407 0.000 0.000 -4.703 8.147" Properties=species:S:1:pos:R:3 pbc="T T T"
Mg 0.000 0.000 0.000
In 0.760 -1.514 2.623
In 0.760 3.189 5.524
In 2.537 -3.189 5.524
In 2.537 6.378 0.000
In 2.537 1.514 2.623
In 0.760 3.029 0.000
Pb 1.648 4.703 2.716
Pb 1.648 0.000 5.431
```

Values from the calculation:
Formation energy from the elements: 36 kJ/mol of formula units
D(E_F): 4.361 states/eV/f.u.
Excess energy over the best structure of this formula in the dataset: 0.025 eV per atom
Total magnetization: 0.0 μB per formula unit